Run w
PBE-GGA Co3SbW, optimized geometry; SG = Pm-3m, No. 221; ρ = 8.88 g/cm3
1.0
-2.431 1.245 3.557
0.836 -3.949 1.954
3.675 1.722 1.909
W Sb Co
1 1 3
Direct
0.000 0.000 0.000
0.500 0.500 0.500
0.500 0.000 0.000
0.000 0.000 0.500
0.000 0.500 0.000

Run x
PBE-GGA Co3SbW, optimized geometry; SG = Pm-3m, No. 221; ρ = 8.90 g/cm3
1.0
4.482 0.000 0.000
0.000 4.482 0.000
0.000 0.000 4.482
W Sb Co
1 1 3
Direct
0.500 0.500 0.500
0.000 0.000 0.000
0.000 0.000 0.500
0.500 0.000 0.000
0.000 0.500 0.000

Verdict on stability: run x comes out at the bottom.

Run w
PBE-GGA YCo3Sb, optimized geometry; SG = Pm-3m, No. 221; ρ = 6.41 g/cm3
1.0
4.648 0.000 0.000
0.000 4.648 0.000
0.000 0.000 4.648
Co Sb Y
3 1 1
Direct
0.000 0.500 0.000
0.500 0.000 0.000
0.000 0.000 0.500
0.000 0.000 0.000
0.500 0.500 0.500

Run x
PBE-GGA YCo3Sb, optimized geometry; SG = Pm-3m, No. 221; ρ = 6.26 g/cm3
1.0
4.685 0.000 0.000
0.000 4.685 0.000
0.000 0.000 4.685
Y Co Sb
1 3 1
Direct
0.000 0.000 0.000
0.500 0.000 0.000
0.000 0.000 0.500
0.000 0.500 0.000
0.500 0.500 0.500

Verdict on stability: run x comes out at the bottom.